w.
A crystal of KCaSc2 relaxed with PBEsol. Source: Alexandria via LeMat-Bulk, functional SCAN.

abc: 3.597 6.022 6.022
angles: 90.00 90.00 90.00
Fractional coordinates of all 4 atoms:
Ca1 0.500 0.500 0.500
K1 0.500 0.000 0.000
Sc1 0.000 0.000 0.500
Sc2 0.000 0.500 0.000

Space-group type: P4/mmm (123)

---

x.
A crystal of KCaSc2 relaxed with PBEsol. Source: Alexandria via LeMat-Bulk, functional SCAN.

abc: 3.548 3.548 10.880
angles: 90.00 90.00 90.00
Fractional coordinates of all 4 atoms:
Ca1 0.000 0.000 0.447
K1 0.500 0.500 0.771
Sc1 0.000 0.000 0.057
Sc2 0.500 0.500 0.225

Space-group type: P4mm (99)

---

y.
A crystal of KCaSc2 relaxed with PBEsol. Source: Alexandria via LeMat-Bulk, functional SCAN.

abc: 3.363 6.642 6.642
angles: 118.05 90.00 90.00
Fractional coordinates of all 4 atoms:
Ca1 0.500 0.000 0.000
K1 0.500 0.500 0.500
Sc1 0.000 0.500 0.000
Sc2 0.000 0.000 0.500

Space-group type: Cmmm (65)

---

Energy relative to the most stable one, in meV/atom: w 404; x 0; y 322

---

w.
A crystal of KSrCa2 relaxed with PBEsol. Source: Alexandria via LeMat-Bulk, functional SCAN.

abc: 4.363 6.614 6.641
angles: 90.00 90.00 90.00
Fractional coordinates of all 4 atoms:
Ca1 0.000 0.000 0.000
Ca2 0.500 0.500 0.000
K1 0.500 0.000 0.500
Sr1 0.000 0.500 0.500

Space-group type: Pmmm (47)

---

x.
A crystal of KSrCa2 relaxed with PBEsol. Source: Alexandria via LeMat-Bulk, functional SCAN.

abc: 3.933 3.933 13.271
angles: 90.00 90.00 109.78
Fractional coordinates of all 4 atoms:
Sr1 0.500 0.500 0.229
Ca1 0.000 0.000 0.993
Ca2 0.500 0.500 0.771
K1 0.000 0.000 0.507

Space-group type: Cmm2 (35)

---

y.
A crystal of KSrCa2 relaxed with PBEsol. Source: Alexandria via LeMat-Bulk, functional SCAN.

abc: 5.800 5.800 7.038
angles: 114.33 114.33 90.00
Fractional coordinates of all 4 atoms:
Ca1 0.000 0.000 0.000
Ca2 0.750 0.250 0.500
K1 0.500 0.500 0.000
Sr1 0.250 0.750 0.500

Space-group type: I-4m2 (119)

---

Energy relative to the most stable one, in meV/atom: w 59; x 0; y 69

---

w.
A crystal of KSrCa2 relaxed with PBEsol. Source: Alexandria via LeMat-Bulk, functional SCAN.

abc: 3.995 3.995 12.247
angles: 90.00 90.00 90.00
Fractional coordinates of all 4 atoms:
Sr1 0.500 0.500 0.777
Ca1 0.000 0.000 0.010
Ca2 0.500 0.500 0.223
K1 0.000 0.000 0.490

Space-group type: P4mm (99)

---

x.
A crystal of KSrCa2 relaxed with PBEsol. Source: Alexandria via LeMat-Bulk, functional SCAN.

abc: 4.028 4.028 13.966
angles: 81.71 81.71 60.00
Fractional coordinates of all 4 atoms:
Sr1 0.000 0.000 0.000
Ca1 0.254 0.254 0.238
Ca2 0.746 0.746 0.762
K1 0.500 0.500 0.500

Space-group type: R-3m (166)

---

y.
A crystal of KSrCa2 relaxed with PBEsol. Source: Alexandria via LeMat-Bulk, functional SCAN.

abc: 3.928 7.630 7.630
angles: 117.35 99.65 99.65
Fractional coordinates of all 4 atoms:
Ca1 0.000 0.000 0.500
Ca2 0.000 0.500 0.000
K1 0.500 0.500 0.500
Sr1 0.500 0.000 0.000

Space-group type: C2/m (12)

---

Energy relative to the most stable one, in meV/atom: w 0; x 8; y 54

---

w.
A crystal of KCaTc2 relaxed with PBEsol. Source: Alexandria via LeMat-Bulk, functional SCAN.

abc: 3.731 3.731 5.934
angles: 108.32 108.32 90.00
Fractional coordinates of all 4 atoms:
Ca1 0.500 0.500 0.000
K1 0.000 0.000 0.000
Tc1 0.750 0.250 0.500
Tc2 0.250 0.750 0.500

Space-group type: I4/mmm (139)

---

x.
A crystal of KCaTc2 relaxed with PBEsol. Source: Alexandria via LeMat-Bulk, functional SCAN.

abc: 4.759 4.759 4.759
angles: 60.00 60.00 60.00
Fractional coordinates of all 4 atoms:
Ca1 0.500 0.500 0.500
K1 0.250 0.250 0.250
Tc1 0.000 0.000 0.000
Tc2 0.750 0.750 0.750

Space-group type: F-43m (216)

---

y.
A crystal of KCaTc2 relaxed with PBEsol. Source: Alexandria via LeMat-Bulk, functional SCAN.

abc: 3.114 4.224 8.975
angles: 92.76 90.00 111.63
Fractional coordinates of all 4 atoms:
Ca1 0.518 0.036 0.602
K1 0.738 0.475 0.181
Tc1 0.982 0.964 0.902
Tc2 0.263 0.525 0.815

Space-group type: Cm (8)

---

Energy relative to the most stable one, in meV/atom: w 576; x 673; y 0

---

w.
A crystal of KCaZn2 relaxed with PBEsol. Source: Alexandria via LeMat-Bulk, functional SCAN.

abc: 5.103 5.103 5.103
angles: 60.00 60.00 60.00
Fractional coordinates of all 4 atoms:
Ca1 0.500 0.500 0.500
K1 0.250 0.250 0.250
Zn1 0.000 0.000 0.000
Zn2 0.750 0.750 0.750

Space-group type: F-43m (216)

---

x.
A crystal of KCaZn2 relaxed with PBEsol. Source: Alexandria via LeMat-Bulk, functional SCAN.

abc: 5.346 5.345 5.345
angles: 60.06 60.00 60.00
Fractional coordinates of all 4 atoms:
Ca1 0.500 0.000 0.000
K1 0.000 0.500 0.500
Zn1 0.250 0.750 0.750
Zn2 0.750 0.250 0.250

Space-group type: I4/mmm (139)

---

Energy relative to the most stable one, in meV/atom: w 52; x 0

---

w.
A crystal of K2CaZr relaxed with PBEsol. Source: Alexandria via LeMat-Bulk, functional SCAN.

abc: 6.146 6.146 6.146
angles: 60.00 60.00 60.00
Fractional coordinates of all 4 atoms:
Ca1 0.500 0.500 0.500
K1 0.000 0.000 0.000
K2 0.750 0.750 0.750
Zr1 0.250 0.250 0.250

Space-group type: F-43m (216)

---

x.
A crystal of K2CaZr relaxed with PBEsol. Source: Alexandria via LeMat-Bulk, functional SCAN.

abc: 3.411 3.411 13.421
angles: 90.00 90.00 90.00
Fractional coordinates of all 4 atoms:
Ca1 0.500 0.500 0.500
K1 0.000 0.000 0.771
K2 0.000 0.000 0.229
Zr1 0.500 0.500 0.000

Space-group type: P4/mmm (123)

---

Energy relative to the most stable one, in meV/atom: w 142; x 0